This record from Alexandria describes a geometry-optimized Li2MnPHO5 structure. The functional is GGA+U.

```
data_Li2MnPHO5
_chemical_formula_sum 'Li4 Mn2 P2 H2 O10'
_cell_length_a 5.135
_cell_length_b 5.852
_cell_length_c 7.690
_cell_angle_alpha 105.89
_cell_angle_beta 108.27
_cell_angle_gamma 95.83
_space_group_name_H-M_alt 'P 1'
_space_group_IT_number 1
loop_
_space_group_symop_operation_xyz
'x,y,z'
loop_
_atom_site_label
_atom_site_type_symbol
_atom_site_fract_x
_atom_site_fract_y
_atom_site_fract_z
Li1 Li 0.000 0.000 0.000
Li2 Li 0.101 0.932 0.320
Li3 Li 0.525 0.145 0.765
Li4 Li 0.841 0.349 0.621
Mn1 Mn 0.289 0.515 0.427
Mn2 Mn 0.360 0.581 0.977
P1 P 0.625 0.160 0.188
P2 P 0.947 0.856 0.643
H1 H 0.640 0.578 0.766
H2 H 0.942 0.507 0.100
O1 O 0.008 0.707 0.790
O2 O 0.133 0.605 0.164
O3 O 0.203 0.887 0.579
O4 O 0.354 0.139 0.237
O5 O 0.472 0.446 0.704
O6 O 0.600 0.312 0.047
O7 O 0.673 0.907 0.081
O8 O 0.682 0.724 0.469
O9 O 0.891 0.269 0.375
O10 O 0.913 0.109 0.761
```

N(E_F) = 0.000 states/eV per cell
Total magnetization = 10.000 Bohr magnetons per cell
E_tot = -65.06 eV/f.u.
Mass density = 2.907 g cm⁻³
SG = P1